Run i
Compound: SmBIr
Source: the Alexandria database
Functional: PBE
Structure: relaxed

The structure in POSCAR format:
```
SmBIr
1.0
10.0668 0.0000 0.0000
0.0000 4.7570 0.0000
-2.8342 0.0000 4.5378
Sm B Ir
4 4 4
Direct
0.2500 0.2500 0.0000
0.2500 0.7500 0.5000
0.7500 0.2500 0.5000
0.7500 0.7500 0.0000
0.0000 0.0000 0.0000
0.0000 0.0000 0.5000
0.5000 0.5000 0.0000
0.5000 0.5000 0.5000
0.0000 0.3024 0.2500
0.0000 0.6976 0.7500
0.5000 0.1976 0.7500
0.5000 0.8024 0.2500
```

Run ii
Compound: SmBIr
Source: the Alexandria database
Functional: PBE
Structure: relaxed

The structure in POSCAR format:
```
SmBIr
1.0
2.9620 0.0000 0.0000
0.0000 2.9620 0.0000
0.0000 0.0000 10.6675
Sm B Ir
2 2 2
Direct
0.0000 0.0000 0.0000
0.5000 0.5000 0.5000
0.0000 0.0000 0.6953
0.5000 0.5000 0.1953
0.0000 0.0000 0.2759
0.5000 0.5000 0.7759
```

If you had to name the least stable structure above, which would it be? It would be run ii.